First-principles (GGA-PBE) data for crystalline Pm3Er2In3 at its relaxed geometry, as listed in Alexandria via LeMat-Bulk.

Summary:
The value obtained for the total magnetization is 0.00 μB/f.u. As for the energy relative to the elements: -368 meV/atom. As for the calculated volume: 29.23 Å³/atom. The symmetry is Immm, No. 71. Its total energy is -4.32 eV/atom.

Cell: 3.8076 5.4331 11.7806 Å, 103.33 99.30 90.00°
Element x y z (fractional)
Pm 0.6246 0.6246 0.2492
Pm 0.3754 0.3754 0.7508
Pm 0.5000 0.0000 0.0000
Er 0.7351 0.2351 0.4703
Er 0.2649 0.7649 0.5297
In 0.1222 0.1222 0.2445
In 0.0000 0.5000 0.0000
In 0.8778 0.8778 0.7555

=====

First-principles (GGA-PBE) data for crystalline RbCrP2S at its relaxed geometry, as listed in Alexandria via LeMat-Bulk.

Summary:
The value obtained for the total magnetization is 0.00 μB/f.u. Its formation energy from raw total energies is 0.184 eV per formula unit. As for the calculated volume: 20.80 Å³/atom. The symmetry is P4/mmm, No. 123. Its total energy is -5.07 eV/atom. The value obtained for the offset from the most stable computed form is 0 meV/atom.

Cell: 4.4675 4.4675 5.2099 Å, 90.00 90.00 90.00°
Element x y z (fractional)
Cr 0.0000 0.0000 0.0000
S 0.0000 0.0000 0.5000
Rb 0.5000 0.5000 0.5000
P 0.0000 0.5000 0.0000
P 0.5000 0.0000 0.0000

=====

First-principles (GGA-PBE) data for crystalline HoReH at its relaxed geometry, as listed in Alexandria via LeMat-Bulk.

Summary:
The value obtained for the total magnetization is 0.00 μB/f.u. As for the calculated volume: 14.56 Å³/atom. The symmetry is P4/nmm, No. 129. Its total energy is -6.99 eV/atom.

Cell: 3.1157 3.1157 8.9974 Å, 90.00 90.00 90.00°
Element x y z (fractional)
Re 0.2500 0.2500 0.5749
Re 0.7500 0.7500 0.4251
Ho 0.2500 0.2500 0.1749
Ho 0.7500 0.7500 0.8251
H 0.2500 0.2500 0.9228
H 0.7500 0.7500 0.0772